Record 1
A plane-wave DFT calculation with GGA-PBE was carried out for crystalline PuReGe2 at its relaxed geometry.

Computed properties:
ΔE to the lowest computed polymorph: 0 meV/atom
ΔE_f: -0.11 eV per atom
VASP energy: -36.47 eV for the cell shown

Geometry as extended XYZ:
```
4
Lattice="3.1846 0.0000 0.0000 0.0000 3.1846 0.0000 0.0000 0.0000 7.0883" Properties=species:S:1:pos:R:3 pbc="T T T"
Pu 0.0000 0.0000 0.0000
Re 0.0000 0.0000 3.5442
Ge 1.5923 1.5923 2.1160
Ge 1.5923 1.5923 4.9724
```

Record 2
A plane-wave DFT calculation with GGA-PBE was carried out for crystalline PuReGe2 at its relaxed geometry.

Computed properties:
ΔE to the lowest computed polymorph: 373 meV/atom
ΔE_f: 0.26 eV per atom
VASP energy: -34.98 eV for the cell shown

Geometry as extended XYZ:
```
4
Lattice="1.4850 0.8573 9.9183 -1.4850 0.8573 9.9183 0.0000 -1.7147 9.9183" Properties=species:S:1:pos:R:3 pbc="T T T"
Pu 0.0000 0.0000 0.0000
Re 0.0000 0.0000 14.8775
Ge 0.0000 0.0000 2.9632
Ge 0.0000 0.0000 26.7918
```

Record 3
A plane-wave DFT calculation with GGA-PBE was carried out for crystalline Pu2ReGe at its relaxed geometry.

Computed properties:
ΔE to the lowest computed polymorph: 0 meV/atom
ΔE_f: -0.09 eV per atom
VASP energy: -46.10 eV for the cell shown

Geometry as extended XYZ:
```
4
Lattice="3.7334 0.0000 0.0000 0.0000 3.7334 0.0000 0.0000 0.0000 5.6885" Properties=species:S:1:pos:R:3 pbc="T T T"
Pu 0.0000 0.0000 1.3982
Pu 0.0000 0.0000 4.2903
Re 1.8667 1.8667 2.8443
Ge 1.8667 1.8667 0.0000
```

Record 4
A plane-wave DFT calculation with GGA-PBE was carried out for crystalline Pu2ReGe6Ru at its relaxed geometry.

Computed properties:
ΔE_f: -0.13 eV per atom
VASP energy: -158.70 eV for the cell shown

Geometry as extended XYZ:
```
20
Lattice="2.9948 1.7291 13.0518 -2.9948 1.7291 13.0518 0.0000 -3.4581 13.0518" Properties=species:S:1:pos:R:3 pbc="T T T"
Pu 0.0000 0.0000 4.2633
Pu 0.0000 0.0000 11.8509
Pu 0.0000 0.0000 27.3044
Pu 0.0000 0.0000 34.8920
Re 0.0000 0.0000 16.6390
Re 0.0000 0.0000 22.5163
Ge -1.7326 -1.0003 18.1146
Ge 0.0000 -1.5316 14.6040
Ge -1.3264 0.7658 14.6040
Ge -1.3264 -0.7658 24.5513
Ge 0.0000 -2.0006 21.0407
Ge -1.7326 1.0003 21.0407
Ge 1.7326 -1.0003 18.1146
Ge 0.0000 2.0006 18.1146
Ge 1.3264 0.7658 14.6040
Ge 1.3264 -0.7658 24.5512
Ge 0.0000 1.5316 24.5512
Ge 1.7326 1.0003 21.0407
Ru 0.0000 0.0000 0.0000
Ru 0.0000 0.0000 19.5776
```